The following is a PBE calculation of an optimized crystal structure of Pu2SiH2, from Alexandria.

Calculated values
Energy above the lowest structure with this stoichiometry in meV/atom: 314.8
Volume in Å³ per cell: 126.5
Total magnetic moment in μB per formula unit: 0.00

Lattice parameters (Å, degrees): 3.4910 6.9509 6.0666 115.01 106.72 90.00
Sites, in units of the cell vectors:
Pu (0.9238, 0.1991, 0.3481)
Pu (0.4243, 0.6991, 0.3481)
Pu (0.0762, 0.8009, 0.6519)
Pu (0.5757, 0.3009, 0.6519)
Si (0.7502, 0.7500, 0.0000)
Si (0.2498, 0.2500, 0.0000)
H (0.0909, 0.5023, 0.6825)
H (0.4084, 0.9977, 0.3175)
H (0.9091, 0.4977, 0.3175)
H (0.5916, 0.0023, 0.6825)